Record 1
Material: CaMgSc2Pd
Method: DFT, PBE
State: relaxed

Lattice parameters (Å, degrees): 5.127 5.127 5.177 90.00 90.00 90.00
Sites, in units of the cell vectors:
Ca 0.000 0.000 0.000
Mg 0.500 0.500 0.000
Sc 0.000 0.500 0.500
Sc 0.500 0.000 0.500
Pd 0.500 0.500 0.500

Crystal system: tetragonal
Calculated density, g/cm3: 3.2
Space-group type: P4/mmm (123)
Spin magnetization, Bohr magnetons per cell: 0.0
E, eV/f.u.: -22.31
Energy of formation from the pure elements, eV per atom: -0.1723

***

Record 2
Material: CaMg2ScPd
Method: DFT, PBE
State: relaxed

Lattice parameters (Å, degrees): 5.149 5.149 5.007 90.00 90.00 90.00
Sites, in units of the cell vectors:
Ca 0.000 0.000 0.000
Mg 0.000 0.500 0.500
Mg 0.500 0.000 0.500
Sc 0.500 0.500 0.000
Pd 0.500 0.500 0.500

Crystal system: tetragonal
Calculated density, g/cm3: 3.0
Space-group type: P4/mmm (123)
Spin magnetization, Bohr magnetons per cell: 0.0
E, eV/f.u.: -17.88
Energy of formation from the pure elements, eV per atom: -0.2327

***

- What is the formula in the first record?
  CaMgSc2Pd

***

- Among the records above, which one has the lowest calculated density?
  CaMg2ScPd

***

Please write out number 1 again, unchanged.
Material: CaMgSc2Pd
Method: DFT, PBE
State: relaxed

Lattice parameters (Å, degrees): 5.127 5.127 5.177 90.00 90.00 90.00
Sites, in units of the cell vectors:
Ca 0.000 0.000 0.000
Mg 0.500 0.500 0.000
Sc 0.000 0.500 0.500
Sc 0.500 0.000 0.500
Pd 0.500 0.500 0.500

Crystal system: tetragonal
Calculated density, g/cm3: 3.2
Space-group type: P4/mmm (123)
Spin magnetization, Bohr magnetons per cell: 0.0
E, eV/f.u.: -22.31
Energy of formation from the pure elements, eV per atom: -0.1723